(1)
Density functional theory data (PBE-GGA) for crystalline AgTePbN2 at its relaxed geometry.

**Raw total energy**: -3.709 eV/atom
**Crystal system**: tetragonal

```
data_AgTePbN2
_chemical_formula_sum 'Ag1 Te1 Pb1 N2'
_cell_length_a 4.453
_cell_length_b 4.453
_cell_length_c 5.744
_cell_angle_alpha 90.00
_cell_angle_beta 90.00
_cell_angle_gamma 90.00
_space_group_name_H-M_alt 'P 4/m m m'
_space_group_IT_number 123
_space_group_name_Hall '-P 4 2'
loop_
_atom_site_label
_atom_site_fract_x
_atom_site_fract_y
_atom_site_fract_z
_atom_site_occupancy
Ag1 0.000 0.000 0.000 1
Te1 0.000 0.000 0.500 1
Pb1 0.500 0.500 0.500 1
N1 0.000 0.500 0.000 1
```

(2)
Density functional theory data (PBE-GGA) for crystalline AcEuYGa at its relaxed geometry.

**DFT formation energy**: 0.054 eV per atom
**Crystal system**: cubic

```
data_AcEuYGa
_chemical_formula_sum 'Ac4 Eu4 Y4 Ga4'
_cell_length_a 7.931
_cell_length_b 7.931
_cell_length_c 7.931
_cell_angle_alpha 90.00
_cell_angle_beta 90.00
_cell_angle_gamma 90.00
_space_group_name_H-M_alt 'F -4 3 m'
_space_group_IT_number 216
_space_group_name_Hall 'F -4 2 3'
loop_
_atom_site_label
_atom_site_fract_x
_atom_site_fract_y
_atom_site_fract_z
_atom_site_occupancy
Ac1 0.000 0.000 0.000 1
Eu1 0.250 0.250 0.250 1
Y1 0.250 0.250 0.750 1
Ga1 0.000 0.000 0.500 1
```

(3)
Density functional theory data (PBE-GGA) for crystalline NbHgTe2 at its relaxed geometry.

**Raw total energy**: -4.171 eV/atom
**Crystal system**: monoclinic

```
data_NbHgTe2
_chemical_formula_sum 'Nb2 Hg2 Te4'
_cell_length_a 8.678
_cell_length_b 4.131
_cell_length_c 6.156
_cell_angle_alpha 90.00
_cell_angle_beta 91.27
_cell_angle_gamma 90.00
_space_group_name_H-M_alt 'C 1 2/m 1'
_space_group_IT_number 12
_space_group_name_Hall '-C 2y'
loop_
_atom_site_label
_atom_site_fract_x
_atom_site_fract_y
_atom_site_fract_z
_atom_site_occupancy
Nb1 0.000 0.000 0.000 1
Hg1 0.000 0.000 0.500 1
Te1 0.185 0.500 0.198 1
```

(4)
Density functional theory data (PBE-GGA) for crystalline DyErTlTc at its relaxed geometry.

**DFT formation energy**: -0.068 eV per atom
**Crystal system**: cubic

```
data_DyErTlTc
_chemical_formula_sum 'Dy4 Er4 Tl4 Tc4'
_cell_length_a 7.172
_cell_length_b 7.172
_cell_length_c 7.172
_cell_angle_alpha 90.00
_cell_angle_beta 90.00
_cell_angle_gamma 90.00
_space_group_name_H-M_alt 'F -4 3 m'
_space_group_IT_number 216
_space_group_name_Hall 'F -4 2 3'
loop_
_atom_site_label
_atom_site_fract_x
_atom_site_fract_y
_atom_site_fract_z
_atom_site_occupancy
Dy1 0.000 0.000 0.000 1
Er1 0.000 0.000 0.500 1
Tl1 0.250 0.250 0.750 1
Tc1 0.250 0.250 0.250 1
```

(5)
Density functional theory data (PBE-GGA) for crystalline SmBiTe2 at its relaxed geometry.

**Raw total energy**: -4.415 eV/atom
**Crystal system**: trigonal

```
data_SmBiTe2
_chemical_formula_sum 'Sm3 Bi3 Te6'
_cell_length_a 4.2770
_cell_length_b 4.2770
_cell_length_c 29.6752
_cell_angle_alpha 90.00
_cell_angle_beta 90.00
_cell_angle_gamma 120.00
_space_group_name_H-M_alt 'R -3 m'
_space_group_IT_number 166
_space_group_name_Hall '-R 3 2"'
loop_
_atom_site_label
_atom_site_fract_x
_atom_site_fract_y
_atom_site_fract_z
_atom_site_occupancy
Sm1 0.0000 0.0000 0.0000 1
Bi1 0.0000 0.0000 0.5000 1
Te1 0.0000 0.0000 0.3967 1
```

(6)
Density functional theory data (PBE-GGA) for crystalline Sm2DyCuS5 at its relaxed geometry.

**Raw total energy**: -6.050 eV/atom
**Crystal system**: orthorhombic

```
data_Sm2DyCuS5
_chemical_formula_sum 'Sm8 Dy4 Cu4 S20'
_cell_length_a 3.885
_cell_length_b 16.829
_cell_length_c 11.560
_cell_angle_alpha 90.00
_cell_angle_beta 90.00
_cell_angle_gamma 90.00
_space_group_name_H-M_alt 'C m c 21'
_space_group_IT_number 36
_space_group_name_Hall 'C 2c -2'
loop_
_atom_site_label
_atom_site_fract_x
_atom_site_fract_y
_atom_site_fract_z
_atom_site_occupancy
Sm1 0.000 0.108 0.000 1
Sm2 0.000 0.121 0.624 1
Dy1 0.000 0.195 0.325 1
Cu1 0.000 0.442 0.769 1
S1 0.000 0.043 0.375 1
S2 0.000 0.289 0.990 1
S3 0.000 0.316 0.661 1
S4 0.000 0.358 0.316 1
S5 0.000 0.498 0.093 1
```

(7)
Density functional theory data (PBE-GGA) for crystalline Li3Sb at its relaxed geometry.

**Raw total energy**: -2.794 eV/atom
**Crystal system**: trigonal

```
data_Li3Sb
_chemical_formula_sum 'Li9 Sb3'
_cell_length_a 9.3976
_cell_length_b 9.3976
_cell_length_c 3.0588
_cell_angle_alpha 90.00
_cell_angle_beta 90.00
_cell_angle_gamma 120.00
_space_group_name_H-M_alt 'R -3 m'
_space_group_IT_number 166
_space_group_name_Hall '-R 3 2"'
loop_
_atom_site_label
_atom_site_fract_x
_atom_site_fract_y
_atom_site_fract_z
_atom_site_occupancy
Li1 0.0000 0.5000 0.0000 1
Sb1 0.0000 0.0000 0.0000 1
```

(8)
Density functional theory data (PBE-GGA) for crystalline NaYIr3 at its relaxed geometry.

**DFT formation energy**: 1.248 eV per atom
**Crystal system**: cubic

```
data_NaYIr3
_chemical_formula_sum 'Na1 Y1 Ir3'
_cell_length_a 4.576
_cell_length_b 4.576
_cell_length_c 4.576
_cell_angle_alpha 90.00
_cell_angle_beta 90.00
_cell_angle_gamma 90.00
_space_group_name_H-M_alt 'P m -3 m'
_space_group_IT_number 221
_space_group_name_Hall '-P 4 2 3'
loop_
_atom_site_label
_atom_site_fract_x
_atom_site_fract_y
_atom_site_fract_z
_atom_site_occupancy
Na1 0.000 0.000 0.000 1
Y1 0.500 0.500 0.500 1
Ir1 0.000 0.000 0.500 1
```

no.,D(E_F) (states/eV per cell)
1,2.05
2,25.13
3,3.49
4,12.87
5,3.26
6,0.16
7,2.25
8,5.81